Record 1
The following is a PBE calculation of a geometry-optimized Pm4SnTe5 structure, from Alexandria via LeMat-Bulk.

* formation energy from raw total energies: -11.571 eV/f.u.

abc: 4.486 4.486 18.561
angles: 83.06 83.06 60.00
Positions (direct):
Pm (0.904, 0.904, 0.289)
Pm (0.299, 0.299, 0.102)
Pm (0.701, 0.701, 0.898)
Pm (0.096, 0.096, 0.711)
Sn (0.500, 0.500, 0.500)
Te (0.399, 0.399, 0.804)
Te (0.000, 0.000, 0.000)
Te (0.601, 0.601, 0.196)
Te (0.799, 0.799, 0.602)
Te (0.201, 0.201, 0.398)

Record 2
The following is a PBE calculation of a geometry-optimized CrInH2 structure, from Alexandria via LeMat-Bulk.

* DFT total energy: -4.45 eV/atom

abc: 4.449 4.449 5.636
angles: 66.75 66.75 90.00
Each line ends with the local moment (μB).
Positions (direct):
Cr (0.500, 0.500, 0.000)  2.74
Cr (0.250, 0.750, 0.500)  2.74
H (0.485, 0.125, 0.250)  -0.03
H (0.265, 0.625, 0.250)  -0.03
H (0.375, 0.515, 0.750)  -0.03
H (0.875, 0.735, 0.750)  -0.03
In (0.000, 0.000, 0.000)  -0.08
In (0.750, 0.250, 0.500)  -0.08

Record 3
The following is a PBE calculation of a geometry-optimized Ho2GePd4Au2 structure, from Alexandria via LeMat-Bulk.

* DFT total energy: -4.98 eV/atom

abc: 6.507 6.507 6.507
angles: 83.26 123.97 123.97
Positions (direct):
Ho (0.000, 0.712, 0.712)
Ho (0.000, 0.288, 0.288)
Ge (0.000, 0.000, 0.000)
Pd (0.000, 0.725, 0.275)
Pd (0.451, 0.725, 0.725)
Pd (0.000, 0.275, 0.725)
Pd (0.549, 0.275, 0.275)
Au (0.500, 0.750, 0.250)
Au (0.500, 0.250, 0.750)

Record 4
The following is a PBE calculation of a geometry-optimized KSrLiMg structure, from Alexandria via LeMat-Bulk.

* DFT total energy: -1.42 eV/atom

abc: 6.111 6.111 6.111
angles: 60.00 60.00 60.00
Positions (direct):
Sr (0.250, 0.250, 0.250)
K (0.750, 0.750, 0.750)
Mg (0.500, 0.500, 0.500)
Li (0.000, 0.000, 0.000)

Record 5
The following is a PBE calculation of a geometry-optimized Y2HgSb structure, from Alexandria via LeMat-Bulk.

* formation energy from raw total energies: -2.836 eV/f.u.

abc: 4.233 4.233 7.984
angles: 74.51 74.51 60.20
Positions (direct):
Hg (0.750, 0.750, 0.750)
Sb (0.250, 0.250, 0.250)
Y (0.996, 0.996, 0.012)
Y (0.504, 0.504, 0.488)

Record 6
The following is a PBE calculation of a geometry-optimized ZrSc3Ag2 structure, from Alexandria via LeMat-Bulk.

* DFT total energy: -5.72 eV/atom

abc: 3.347 3.347 11.435
angles: 90.00 90.00 90.00
Positions (direct):
Zr (0.500, 0.500, 0.500)
Sc (0.000, 0.000, 0.000)
Sc (0.000, 0.000, 0.686)
Sc (0.000, 0.000, 0.314)
Ag (0.500, 0.500, 0.844)
Ag (0.500, 0.500, 0.156)

What did the second record say?
The following is a PBE calculation of a geometry-optimized CrInH2 structure, from Alexandria via LeMat-Bulk.

* DFT total energy: -4.45 eV/atom

abc: 4.449 4.449 5.636
angles: 66.75 66.75 90.00
Each line ends with the local moment (μB).
Positions (direct):
Cr (0.500, 0.500, 0.000)  2.74
Cr (0.250, 0.750, 0.500)  2.74
H (0.485, 0.125, 0.250)  -0.03
H (0.265, 0.625, 0.250)  -0.03
H (0.375, 0.515, 0.750)  -0.03
H (0.875, 0.735, 0.750)  -0.03
In (0.000, 0.000, 0.000)  -0.08
In (0.750, 0.250, 0.500)  -0.08